Below is an optimized crystal structure of LiMnTlSn, with properties calculated at the PBE level.

abc: 4.877 4.877 4.877
angles: 60.00 60.00 60.00
Element x y z (fractional)
Li: 0.000 0.000 0.000
Mn: 0.500 0.500 0.500
Tl: 0.250 0.250 0.250
Sn: 0.750 0.750 0.750

Summary:
ΔE_f (eV/atom): 0.058
Fermi-level density of states (states/eV/cell): 2.07
SG: No. 216

***

Below is an optimized crystal structure of LaSmZn2Ga2, with properties calculated at the PBE level.

abc: 4.492 4.492 7.720
angles: 90.00 90.00 120.00
Element x y z (fractional)
La: 0.000 0.000 0.000
Sm: 0.000 0.000 0.500
Zn: 0.333 0.667 0.276
Zn: 0.667 0.333 0.724
Ga: 0.333 0.667 0.733
Ga: 0.667 0.333 0.267

Summary:
ΔE_f (eV/atom): -0.555
Fermi-level density of states (states/eV/cell): 3.47
SG: No. 164

***

Below is an optimized crystal structure of Sr4Mn2Ir, with properties calculated at the PBE level.

abc: 8.773 8.773 8.773
angles: 140.62 140.62 56.91
Element x y z (fractional)
Sr: 0.000 0.500 0.500
Sr: 0.187 0.187 0.000
Sr: 0.500 0.000 0.500
Sr: 0.813 0.813 0.000
Mn: 0.408 0.408 0.000
Mn: 0.592 0.592 0.000
Ir: 0.000 0.000 0.000

Summary:
ΔE_f (eV/atom): 0.478
Fermi-level density of states (states/eV/cell): 7.20
SG: No. 139

***

Below is an optimized crystal structure of CsLaB2, with properties calculated at the PBE level.

abc: 5.074 5.074 5.074
angles: 60.00 60.00 60.00
Element x y z (fractional)
Cs: 0.000 0.000 0.000
La: 0.500 0.500 0.500
B: 0.250 0.250 0.250
B: 0.750 0.750 0.750

Summary:
ΔE_f (eV/atom): 1.455
Fermi-level density of states (states/eV/cell): 2.45
SG: No. 225

***

Below is an optimized crystal structure of HoBeGa3Cu, with properties calculated at the PBE level.

abc: 6.730 6.730 5.489
angles: 90.00 90.00 121.62
Element x y z (fractional)
Ho: 0.219 0.781 0.750
Ho: 0.781 0.219 0.250
Be: 0.136 0.864 0.250
Be: 0.864 0.136 0.750
Ga: 0.196 0.196 0.000
Ga: 0.196 0.196 0.500
Ga: 0.333 0.667 0.250
Ga: 0.667 0.333 0.750
Ga: 0.804 0.804 0.000
Ga: 0.804 0.804 0.500
Cu: 0.456 0.544 0.750
Cu: 0.544 0.456 0.250

Summary:
ΔE_f (eV/atom): -0.018
Fermi-level density of states (states/eV/cell): 3.27
SG: No. 63

***

Below is an optimized crystal structure of BaMo2Ru, with properties calculated at the PBE level.

abc: 2.997 4.125 7.165
angles: 90.00 97.80 90.00
Element x y z (fractional)
Ba: 0.000 0.000 0.000
Mo: 0.573 0.000 0.516
Mo: 0.805 0.500 0.348
Ru: 0.244 0.500 0.671

Summary:
ΔE_f (eV/atom): 0.733
Fermi-level density of states (states/eV/cell): 4.99
SG: No. 6

***

Below is an optimized crystal structure of MgCo2Si, with properties calculated at the PBE level.

abc: 4.649 4.649 4.158
angles: 107.83 107.83 34.78
Element x y z (fractional)
Mg: 0.000 0.000 0.000
Co: 0.501 0.501 0.511
Co: 0.756 0.756 0.162
Si: 0.228 0.228 0.633

Summary:
Fermi-level density of states (states/eV/cell): 2.71
SG: No. 8
Formation energy from raw total energies (eV per atom): -0.140

***

Below is an optimized crystal structure of ReTc6, with properties calculated at the PBE level.

abc: 10.281 8.460 4.876
angles: 90.00 90.00 90.00
Element x y z (fractional)
Re: 0.155 0.250 0.097
Re: 0.345 0.750 0.597
Re: 0.655 0.250 0.403
Re: 0.845 0.750 0.903
Tc: 0.002 0.250 0.636
Tc: 0.072 0.582 0.849
Tc: 0.072 0.918 0.849
Tc: 0.166 0.003 0.390
Tc: 0.166 0.497 0.390
Tc: 0.232 0.750 0.128
Tc: 0.268 0.250 0.628
Tc: 0.334 0.503 0.890
Tc: 0.334 0.997 0.890
Tc: 0.428 0.082 0.349
Tc: 0.428 0.418 0.349
Tc: 0.498 0.750 0.136
Tc: 0.502 0.250 0.864
Tc: 0.572 0.582 0.651
Tc: 0.572 0.918 0.651
Tc: 0.666 0.003 0.110
Tc: 0.666 0.497 0.110
Tc: 0.732 0.750 0.372
Tc: 0.768 0.250 0.872
Tc: 0.834 0.503 0.610
Tc: 0.834 0.997 0.610
Tc: 0.928 0.082 0.151
Tc: 0.928 0.418 0.151
Tc: 0.998 0.750 0.364

Summary:
ΔE_f (eV/atom): 0.155
Fermi-level density of states (states/eV/cell): 20.08
SG: No. 62

***

| no. | ρ (g/cm3) |
| --- | --- |
| 1 | 7.8 |
| 2 | 6.9 |
| 3 | 4.0 |
| 4 | 5.3 |
| 5 | 7.0 |
| 6 | 8.1 |
| 7 | 5.8 |
| 8 | 12.1 |